## Mg2MnBi (PBE-GGA)

Data for a geometry-optimized Mg2MnBi structure.

Volume in Å³ per cell: 194.4
Formation energy in kcal/mol of atoms: 8.434
Raw total energy in eV/atom: -3.694

Lattice parameters (Å, degrees): 8.1785 8.1785 6.4726 50.82 50.82 90.00
Each line ends with the local moment (μB).
Fractional positions:
Mg 0.6086 0.1250 0.2500  -0.02
Mg 0.1414 0.6250 0.2500  -0.02
Mg 0.3750 0.3914 0.7500  -0.02
Mg 0.8750 0.8586 0.7500  -0.02
Mn 0.5000 0.5000 0.0000  3.79
Mn 0.2500 0.7500 0.5000  3.79
Bi 0.0000 0.0000 0.0000  -0.04
Bi 0.7500 0.2500 0.5000  -0.04

***

## MgMn3Bi (PBE-GGA)

Data for a geometry-optimized MgMn3Bi structure.

Volume in Å³ per cell: 109.6
Formation energy in kcal/mol of atoms: 24.516
Raw total energy in eV/atom: -5.534
Polymorph energy (0 for the lowest one) in eV/f.u.: 0.00

Lattice parameters (Å, degrees): 4.7854 4.7854 4.7854 90.00 90.00 90.00
Each line ends with the local moment (μB).
Fractional positions:
Mg 0.0000 0.0000 0.0000  -0.07
Mn 0.0000 0.5000 0.0000  3.68
Mn 0.0000 0.0000 0.5000  3.81
Mn 0.5000 0.0000 0.0000  3.59
Bi 0.5000 0.5000 0.5000  -0.19

***

## Mg2MnBi2 (PBE-GGA)

Data for a geometry-optimized Mg2MnBi2 structure.

Volume in Å³ per cell: 241.8
Formation energy in kcal/mol of atoms: 9.056
Raw total energy in eV/atom: -3.631

Lattice parameters (Å, degrees): 7.0004 7.0004 4.9333 90.00 90.00 90.00
Each line ends with the local moment (μB).
Fractional positions:
Mg 0.1650 0.6650 0.5000  0.00
Mg 0.6650 0.8350 0.5000  0.00
Mg 0.8350 0.3350 0.5000  0.00
Mg 0.3350 0.1650 0.5000  0.00
Mn 0.0000 0.0000 0.0000  -0.17
Mn 0.5000 0.5000 0.0000  -0.18
Bi 0.3423 0.8423 0.0000  0.01
Bi 0.8423 0.6577 0.0000  0.01
Bi 0.6577 0.1577 0.0000  0.01
Bi 0.1577 0.3423 0.0000  0.01

***

## MgMnBi2 (PBE-GGA)

Data for a geometry-optimized MgMnBi2 structure.

Volume in Å³ per cell: 256.2
Formation energy in kcal/mol of atoms: 14.710
Raw total energy in eV/atom: -3.994

Lattice parameters (Å, degrees): 6.5025 6.5025 7.6063 64.69 64.69 90.00
Each line ends with the local moment (μB).
Fractional positions:
Mg 0.5000 0.5000 0.0000  0.00
Mg 0.2500 0.7500 0.5000  0.00
Mn 0.0000 0.0000 0.0000  -0.13
Mn 0.7500 0.2500 0.5000  -0.12
Bi 0.6813 0.1250 0.2500  0.04
Bi 0.0687 0.6250 0.2500  0.03
Bi 0.3750 0.3187 0.7500  0.03
Bi 0.8750 0.9313 0.7500  0.03

***

## MgMn2Bi2 (PBE-GGA)

Data for a geometry-optimized MgMn2Bi2 structure.

Volume in Å³ per cell: 193.8
Formation energy in kcal/mol of atoms: 17.252
Raw total energy in eV/atom: -4.791
Polymorph energy (0 for the lowest one) in eV/f.u.: 1.97

Lattice parameters (Å, degrees): 7.7847 7.7847 3.1973 90.00 90.00 90.00
Fractional positions:
Mg 0.0000 0.0000 0.0000
Mg 0.5000 0.5000 0.0000
Mn 0.1404 0.6404 0.5000
Mn 0.6404 0.8596 0.5000
Mn 0.8596 0.3596 0.5000
Mn 0.3596 0.1404 0.5000
Bi 0.3464 0.8464 0.0000
Bi 0.8464 0.6536 0.0000
Bi 0.6536 0.1536 0.0000
Bi 0.1536 0.3464 0.0000

***

## MgMn2Bi2 (PBE-GGA)

Data for a geometry-optimized MgMn2Bi2 structure.

Volume in Å³ per cell: 114.4
Formation energy in kcal/mol of atoms: 8.145
Raw total energy in eV/atom: -5.186
Polymorph energy (0 for the lowest one) in eV/f.u.: 0.00

Lattice parameters (Å, degrees): 3.6929 3.6929 8.7872 77.87 77.87 90.00
Each line ends with the local moment (μB).
Fractional positions:
Mg 0.0000 0.0000 0.0000  0.01
Mn 0.7500 0.2500 0.5000  2.99
Mn 0.2500 0.7500 0.5000  2.99
Bi 0.3798 0.3798 0.2404  -0.15
Bi 0.6202 0.6202 0.7596  -0.15

***

## MgMn2Bi (PBE-GGA)

Data for a geometry-optimized MgMn2Bi structure.

Volume in Å³ per cell: 75.1
Formation energy in kcal/mol of atoms: 8.960
Raw total energy in eV/atom: -5.565
Polymorph energy (0 for the lowest one) in eV/f.u.: 0.00

Lattice parameters (Å, degrees): 4.7363 4.7363 4.7363 60.00 60.00 60.00
Each line ends with the local moment (μB).
Fractional positions:
Mg 0.0000 0.0000 0.0000  -0.05
Mn 0.2500 0.2500 0.2500  3.35
Mn 0.7500 0.7500 0.7500  3.35
Bi 0.5000 0.5000 0.5000  -0.11

***

## MgMn2Bi (PBE-GGA)

Data for a geometry-optimized MgMn2Bi structure.

Volume in Å³ per cell: 169.7
Formation energy in kcal/mol of atoms: 13.827
Raw total energy in eV/atom: -5.354
Polymorph energy (0 for the lowest one) in eV/f.u.: 0.84

Lattice parameters (Å, degrees): 7.6635 7.6635 6.1411 51.40 51.40 90.00
Each line ends with the local moment (μB).
Fractional positions:
Mg 0.5000 0.5000 0.0000  0.05
Mg 0.2500 0.7500 0.5000  0.05
Mn 0.6248 0.1250 0.2500  -3.56
Mn 0.1252 0.6250 0.2500  -3.55
Mn 0.3750 0.3752 0.7500  -3.56
Mn 0.8750 0.8748 0.7500  -3.57
Bi 0.0000 0.0000 0.0000  0.16
Bi 0.7500 0.2500 0.5000  0.16

***

> What is the formula in the second record?

MgMn3Bi

***

> Look up the formation energy of the first one.

8.434 kcal/mol of atoms